# BaYAu2 | the Alexandria database | PBE | relaxed
data_BaYAu2
_cell_length_a 7.6921
_cell_length_b 4.4471
_cell_length_c 7.8165
_cell_angle_alpha 90.00
_cell_angle_beta 109.20
_cell_angle_gamma 90.00
_symmetry_space_group_name_H-M 'C 1 2/m 1'
_symmetry_Int_Tables_number 12
loop_
_symmetry_equiv_pos_as_xyz
'x,y,z'
'-x,-y,-z'
'-x,y,-z'
'x,-y,z'
'x+1/2,y+1/2,z'
'-x+1/2,-y+1/2,-z'
'-x+1/2,y+1/2,-z'
'x+1/2,-y+1/2,z'
loop_
_atom_site_label
_atom_site_fract_x
_atom_site_fract_y
_atom_site_fract_z
Ba1 0.0000 0.0000 0.0000
Y1 0.0000 0.5000 0.5000
Au1 0.2338 0.0000 0.7015
# Fermi-level density of states ... 0.77 states/eV/atom
# Energy of formation ... -665 meV/atom